First-principles (PBEsol) data for a relaxed Zr2ReAg crystal, as listed in Alexandria.

DFT formation energy, meV per atom: -205
Size of the total moment, μB/f.u.: 0.00
SG: P4/mmm (123)
Energy above the most stable polymorph in this dataset, eV per atom: 0.000
Theoretical density, g cm⁻³: 10.70
DOS(E_F), states/eV per cell: 3.65
Energy, eV per atom: -8.9110

Structure (POSCAR):
```
Zr2ReAg
1.0
-1.267 1.533 -2.622
-2.827 -1.635 0.410
-2.306 4.999 4.035
Zr Re Ag
2 1 1
direct
0.000 0.000 0.270
0.000 0.000 0.730
0.500 0.500 0.500
0.500 0.500 0.000
```

First-principles (PBEsol) data for a relaxed ZrReAg4 crystal, as listed in Alexandria.

DFT formation energy, meV per atom: 491
Size of the total moment, μB/f.u.: 0.00
SG: F-43m (216)
Theoretical density, g cm⁻³: 11.52
DOS(E_F), states/eV per cell: 6.72
Energy, eV per atom: -5.4531

Structure (POSCAR):
```
ZrReAg4
1.0
-3.936 2.627 -2.266
-3.984 -2.619 -2.191
-4.741 0.075 2.247
Zr Ag Re
1 4 1
direct
0.000 0.000 0.000
0.375 0.375 0.375
0.874 0.375 0.375
0.375 0.874 0.375
0.375 0.375 0.874
0.750 0.750 0.750
```

First-principles (PBEsol) data for a relaxed Zr2ReAg crystal, as listed in Alexandria.

DFT formation energy, meV per atom: 98
Size of the total moment, μB/f.u.: 0.00
SG: I-4m2 (119)
Energy above the most stable polymorph in this dataset, eV per atom: 0.303
Theoretical density, g cm⁻³: 10.96
DOS(E_F), states/eV per cell: 4.05
Energy, eV per atom: -8.6078

Structure (POSCAR):
```
Zr2ReAg
1.0
4.085 0.000 0.000
0.000 4.085 0.000
-2.043 -2.043 4.325
Zr Re Ag
2 1 1
direct
0.000 0.000 0.000
0.750 0.250 0.500
0.250 0.750 0.500
0.500 0.500 0.000
```

First-principles (PBEsol) data for a relaxed AgRh3 crystal, as listed in Alexandria.

DFT formation energy, meV per atom: 256
Size of the total moment, μB/f.u.: 0.00
SG: Pmm2 (25)
Theoretical density, g cm⁻³: 12.16
DOS(E_F), states/eV per cell: 6.71
Energy, eV per atom: -6.6752

Structure (POSCAR):
```
AgRh3
1.0
2.700 0.000 0.000
0.000 4.433 0.000
0.000 0.000 4.753
Ag Rh
1 3
direct
0.000 0.000 0.004
0.500 0.500 0.819
0.000 0.500 0.341
0.500 0.000 0.503
```

First-principles (PBEsol) data for a relaxed Ag7Rh crystal, as listed in Alexandria.

DFT formation energy, meV per atom: 96
Size of the total moment, μB/f.u.: 0.00
SG: Fm-3m (225)
Theoretical density, g cm⁻³: 11.06
DOS(E_F), states/eV per cell: 3.82
Energy, eV per atom: -3.8185

Structure (POSCAR):
```
Ag7Rh
1.0
-2.538 -0.226 -5.064
2.495 -2.721 -4.302
-2.145 -4.899 -1.879
Ag Rh
7 1
direct
0.500 0.500 0.000
0.500 0.500 0.500
0.500 0.000 0.500
0.500 0.000 0.000
0.000 0.500 0.000
0.000 0.000 0.500
0.000 0.500 0.500
0.000 0.000 0.000
```

First-principles (PBEsol) data for a relaxed Ag2Rh crystal, as listed in Alexandria.

DFT formation energy, meV per atom: 168
Size of the total moment, μB/f.u.: 0.05
SG: P-3m1 (164)
Energy above the most stable polymorph in this dataset, eV per atom: 0.000
Theoretical density, g cm⁻³: 11.49
DOS(E_F), states/eV per cell: 2.89
Energy, eV per atom: -4.7522

Structure (POSCAR):
```
Ag2Rh
1.0
-2.467 0.986 0.760
1.820 -0.799 1.920
2.631 6.443 0.186
Rh Ag
1 2
direct
0.000 0.000 0.500
0.667 0.333 0.171
0.333 0.667 0.829
```

What is the size of the total moment in the fifth record?
0.00 μB/f.u.

Repeat the fifth record exactly.
First-principles (PBEsol) data for a relaxed Ag7Rh crystal, as listed in Alexandria.

DFT formation energy, meV per atom: 96
Size of the total moment, μB/f.u.: 0.00
SG: Fm-3m (225)
Theoretical density, g cm⁻³: 11.06
DOS(E_F), states/eV per cell: 3.82
Energy, eV per atom: -3.8185

Structure (POSCAR):
```
Ag7Rh
1.0
-2.538 -0.226 -5.064
2.495 -2.721 -4.302
-2.145 -4.899 -1.879
Ag Rh
7 1
direct
0.500 0.500 0.000
0.500 0.500 0.500
0.500 0.000 0.500
0.500 0.000 0.000
0.000 0.500 0.000
0.000 0.000 0.500
0.000 0.500 0.500
0.000 0.000 0.000
```

What is the formula in the second record?
ZrReAg4

Among the records above, which one has the lowest DOS(E_F)?
Ag2Rh